A plane-wave DFT calculation with PBE-GGA was carried out for a geometry-optimized ZnCuAu2Se structure.

Structure (POSCAR):
```
ZnCuAu2Se
1.0
4.868 0.000 0.000
0.000 4.868 0.000
0.000 0.000 4.796
Zn Cu Au Se
1 1 2 1
Direct
0.000 0.000 0.000
0.500 0.500 0.500
0.000 0.500 0.000
0.500 0.000 0.000
0.000 0.000 0.500
```

Summary:
E_tot: -2.44 eV/atom
D(E_F): 3.10 states/eV/cell
Size of the total moment: 0.0 μB/f.u.
Crystal system: tetragonal
Formation energy (no corrections): 642 meV per atom